[1]
Density functional theory data (meta-GGA SCAN) for a crystal of CaTlOs2 relaxed with PBEsol.

abc: 6.578 6.578 6.578
angles: 90.00 90.00 90.00
Element x y z (fractional)
Ca1 0.000 0.000 0.000
Ca2 0.000 0.500 0.500
Ca3 0.500 0.000 0.500
Ca4 0.500 0.500 0.000
Tl1 0.000 0.000 0.500
Tl2 0.000 0.500 0.000
Tl3 0.500 0.000 0.000
Tl4 0.500 0.500 0.500
Os1 0.250 0.250 0.250
Os2 0.250 0.250 0.750
Os3 0.250 0.750 0.250
Os4 0.250 0.750 0.750
Os5 0.750 0.250 0.250
Os6 0.750 0.250 0.750
Os7 0.750 0.750 0.250
Os8 0.750 0.750 0.750

Values from the calculation:
- Relative energy among the computed polymorphs: 0.335 eV/atom
- Calculated formation energy: 1133.0 meV per atom
- Space-group type: Fm-3m, No. 225
- Uncorrected energy: -55.312 eV/atom

---

[2]
Density functional theory data (meta-GGA SCAN) for a crystal of KLi4Mg relaxed with PBEsol.

abc: 6.048 6.048 6.048
angles: 60.00 60.00 60.00
Element x y z (fractional)
K1 0.000 0.000 0.000
Li1 0.377 0.377 0.377
Li2 0.377 0.377 0.868
Li3 0.377 0.868 0.377
Li4 0.868 0.377 0.377
Mg1 0.750 0.750 0.750

Values from the calculation:
- Calculated formation energy: 103.4 meV per atom
- Space-group type: F-43m, No. 216
- Uncorrected energy: -3.707 eV/atom

---

[3]
Density functional theory data (meta-GGA SCAN) for a crystal of ZrRhSe2 relaxed with PBEsol.

abc: 3.369 3.369 24.909
angles: 90.00 90.00 120.00
Element x y z (fractional)
Zr1 0.000 0.000 0.000
Zr2 0.333 0.667 0.667
Zr3 0.667 0.333 0.333
Rh1 0.000 0.000 0.500
Rh2 0.333 0.667 0.167
Rh3 0.667 0.333 0.833
Se1 0.000 0.000 0.406
Se2 0.000 0.000 0.594
Se3 0.333 0.667 0.073
Se4 0.333 0.667 0.261
Se5 0.667 0.333 0.739
Se6 0.667 0.333 0.927

Values from the calculation:
- Relative energy among the computed polymorphs: 0.237 eV/atom
- Space-group type: R-3m, No. 166
- E_form (uncorrected): -495 meV per atom
- Uncorrected energy: -26.652 eV/atom